Record 1
Below is HoAl2V after structural relaxation, with properties calculated at the PBE level.

## Properties
**Spin magnetization**: 0.001 μB/cell
**Fermi-level density of states**: 0.933 states/eV per atom
**Energy**: -62.4 eV per cell

```
data_HoAl2V
_symmetry_space_group_name_H-M 'R -3 m'
_symmetry_Int_Tables_number 166
_symmetry_space_group_name_Hall '-R 3 2"'
_cell_length_a 2.9879
_cell_length_b 2.9879
_cell_length_c 28.9458
_cell_angle_alpha 90.00
_cell_angle_beta 90.00
_cell_angle_gamma 120.00
loop_
_atom_site_label
_atom_site_type_symbol
_atom_site_fract_x
_atom_site_fract_y
_atom_site_fract_z
_atom_site_occupancy
Ho1 Ho 0.0000 0.0000 0.0000 1
Al1 Al 0.0000 0.0000 0.2392 1
V1 V 0.0000 0.0000 0.5000 1
```



Record 2
Below is HoAl2V after structural relaxation, with properties calculated at the PBE level.

## Properties
**Spin magnetization**: 0.343 μB/cell
**Fermi-level density of states**: 0.771 states/eV per atom
**Energy**: -21.8 eV per cell

```
data_HoAl2V
_symmetry_space_group_name_H-M 'P 4/m m m'
_symmetry_Int_Tables_number 123
_symmetry_space_group_name_Hall '-P 4 2'
_cell_length_a 3.361
_cell_length_b 3.361
_cell_length_c 6.544
_cell_angle_alpha 90.00
_cell_angle_beta 90.00
_cell_angle_gamma 90.00
loop_
_atom_site_label
_atom_site_type_symbol
_atom_site_fract_x
_atom_site_fract_y
_atom_site_fract_z
_atom_site_occupancy
Ho1 Ho 0.000 0.000 0.000 1
Al1 Al 0.500 0.500 0.304 1
V1 V 0.000 0.000 0.500 1
```



Record 3
Below is HoAlV4 after structural relaxation, with properties calculated at the PBE level.

## Properties
**Spin magnetization**: 0.000 μB/cell
**Fermi-level density of states**: 1.390 states/eV per atom
**Energy**: -175.3 eV per cell

```
data_HoAlV4
_symmetry_space_group_name_H-M 'F -4 3 m'
_symmetry_Int_Tables_number 216
_symmetry_space_group_name_Hall 'F -4 2 3'
_cell_length_a 7.343
_cell_length_b 7.343
_cell_length_c 7.343
_cell_angle_alpha 90.00
_cell_angle_beta 90.00
_cell_angle_gamma 90.00
loop_
_atom_site_label
_atom_site_type_symbol
_atom_site_fract_x
_atom_site_fract_y
_atom_site_fract_z
_atom_site_occupancy
Ho1 Ho 0.000 0.000 0.000 1
Al1 Al 0.250 0.250 0.750 1
V1 V 0.128 0.128 0.372 1
```



Record 4
Below is HoAl8V4 after structural relaxation, with properties calculated at the PBE level.

## Properties
**Spin magnetization**: 0.003 μB/cell
**Fermi-level density of states**: 0.843 states/eV per atom
**Energy**: -148.7 eV per cell

```
data_HoAl8V4
_symmetry_space_group_name_H-M 'I 4/m m m'
_symmetry_Int_Tables_number 139
_symmetry_space_group_name_Hall '-I 4 2'
_cell_length_a 9.071
_cell_length_b 9.071
_cell_length_c 5.242
_cell_angle_alpha 90.00
_cell_angle_beta 90.00
_cell_angle_gamma 90.00
loop_
_atom_site_label
_atom_site_type_symbol
_atom_site_fract_x
_atom_site_fract_y
_atom_site_fract_z
_atom_site_occupancy
Ho1 Ho 0.000 0.000 0.000 1
Al1 Al 0.000 0.229 0.500 1
Al2 Al 0.000 0.329 0.000 1
V1 V 0.250 0.250 0.250 1
```



Record 5
Below is HoAl2W after structural relaxation, with properties calculated at the PBE level.

## Properties
**Spin magnetization**: 0.000 μB/cell
**Fermi-level density of states**: 0.675 states/eV per atom
**Energy**: -73.3 eV per cell

```
data_HoAl2W
_symmetry_space_group_name_H-M 'R -3 m'
_symmetry_Int_Tables_number 166
_symmetry_space_group_name_Hall '-R 3 2"'
_cell_length_a 2.9931
_cell_length_b 2.9931
_cell_length_c 29.2534
_cell_angle_alpha 90.00
_cell_angle_beta 90.00
_cell_angle_gamma 120.00
loop_
_atom_site_label
_atom_site_type_symbol
_atom_site_fract_x
_atom_site_fract_y
_atom_site_fract_z
_atom_site_occupancy
Ho1 Ho 0.0000 0.0000 0.0000 1
Al1 Al 0.0000 0.0000 0.2404 1
W1 W 0.0000 0.0000 0.5000 1
```



Record 6
Below is HoAl4W after structural relaxation, with properties calculated at the PBE level.

## Properties
**Spin magnetization**: 0.000 μB/cell
**Fermi-level density of states**: 0.450 states/eV per atom
**Energy**: -133.4 eV per cell

```
data_HoAl4W
_symmetry_space_group_name_H-M 'F -4 3 m'
_symmetry_Int_Tables_number 216
_symmetry_space_group_name_Hall 'F -4 2 3'
_cell_length_a 7.430
_cell_length_b 7.430
_cell_length_c 7.430
_cell_angle_alpha 90.00
_cell_angle_beta 90.00
_cell_angle_gamma 90.00
loop_
_atom_site_label
_atom_site_type_symbol
_atom_site_fract_x
_atom_site_fract_y
_atom_site_fract_z
_atom_site_occupancy
Ho1 Ho 0.000 0.000 0.000 1
Al1 Al 0.125 0.125 0.375 1
W1 W 0.250 0.250 0.750 1
```